# Li4Ni5O9 PBE+U relaxed
# Total DFT energy (no corrections): -4.841 eV per atom
data_Li4Ni5O9
_space_group_name_H-M_alt 'P 1'
_space_group_IT_number 1
_space_group_name_Hall 'P 1'
_cell_length_a 6.5234
_cell_length_b 7.7073
_cell_length_c 7.7222
_cell_angle_alpha 64.93
_cell_angle_beta 85.42
_cell_angle_gamma 65.15
loop_
_atom_site_label
_atom_site_fract_x
_atom_site_fract_y
_atom_site_fract_z
Li1 0.0567 0.2774 0.0568
Li2 0.1560 0.8488 0.1589
Li3 0.2787 0.3809 0.2812
Li4 0.3871 0.9512 0.3882
Li5 0.6129 0.0488 0.6118
Li6 0.7213 0.6191 0.7188
Li7 0.8440 0.1512 0.8411
Li8 0.9433 0.7226 0.9432
Ni1 0.0568 0.7778 0.5548
Ni2 0.1703 0.3288 0.6732
Ni3 0.2783 0.8908 0.7768
Ni4 0.3930 0.4446 0.8894
Ni5 0.5000 0.0000 0.0000
Ni6 0.5000 0.5000 0.5000
Ni7 0.6070 0.5554 0.1106
Ni8 0.7217 0.1092 0.2232
Ni9 0.8297 0.6712 0.3268
Ni10 0.9432 0.2222 0.4452
O1 0.0286 0.0353 0.3030
O2 0.0822 0.5142 0.8007
O3 0.1690 0.0999 0.9017
O4 0.1803 0.5559 0.4408
O5 0.2656 0.1395 0.5503
O6 0.2964 0.6369 0.0061
O7 0.3934 0.6884 0.6293
O8 0.4140 0.1863 0.1440
O9 0.4969 0.7342 0.2386
O10 0.5031 0.2658 0.7614
O11 0.5860 0.8137 0.8560
O12 0.6066 0.3116 0.3707
O13 0.7036 0.3631 0.9939
O14 0.7344 0.8605 0.4497
O15 0.8197 0.4441 0.5592
O16 0.8310 0.9001 0.0983
O17 0.9178 0.4858 0.1993
O18 0.9714 0.9647 0.6970